Entry 1:
Here is LiP2WCl after structural relaxation from Alexandria via LeMat-Bulk. Energies are from GGA-PBEsol.

Cell: 4.233 4.233 4.328 Å, 90.00 90.00 90.00°
Atoms (fractional coordinates):
1 Li 0.000 0.000 0.000
2 P 0.000 0.500 0.000
3 P 0.500 0.000 0.000
4 W 0.500 0.500 0.500
5 Cl 0.000 0.000 0.500

Volume (Å³/cell): 78
Excess energy over the best structure of this formula in the dataset (eV/atom): 1.0890
Space-group type: No. 123
Calculated total energy (eV per atom): -4.7731
Fermi-level density of states (states/eV/f.u.): 2.641
ΔE_f (raw) (eV/atom): 1.10

***

Entry 2:
Here is LiPb2Cl after structural relaxation from Alexandria via LeMat-Bulk. Energies are from GGA-PBEsol.

Cell: 6.391 6.312 4.422 Å, 70.59 68.67 40.73°
Atoms (fractional coordinates):
1 Li 0.000 0.000 0.000
2 Pb 0.000 0.500 0.500
3 Pb 0.500 0.000 0.000
4 Cl 0.500 0.500 0.500

Volume (Å³/cell): 108
Space-group type: No. 69
Calculated total energy (eV per atom): -3.3472
Fermi-level density of states (states/eV/f.u.): 2.074
ΔE_f (raw) (eV/atom): -0.35

***

| no. | ρ (Mg/m³) |
| --- | --- |
| 1 | 6.17 |
| 2 | 7.03 |